No. 1
LaZr2Tl | GGA-PBEsol | optimized geometry

ΔE_f: -61 meV per atom
Space-group type: P4mm
Total magnetic moment: 0.000 μB per atom

a b c (Å): 3.268 3.268 9.432
angles (deg): 90.00 90.00 90.00
Positions (direct):
La 0.000 0.000 0.505
Tl 0.500 0.500 0.771
Zr 0.000 0.000 0.001
Zr 0.500 0.500 0.223


No. 2
ZrCu2Te | GGA-PBEsol | optimized geometry

Space-group type: F-43m
Total energy: -5.251 eV/atom
Total magnetic moment: 0.000 μB per atom

a b c (Å): 4.628 4.628 4.628
angles (deg): 60.00 60.00 60.00
Positions (direct):
Cu 0.000 0.000 0.000
Cu 0.750 0.750 0.750
Te 0.500 0.500 0.500
Zr 0.250 0.250 0.250


No. 3
MgMo2RuC | GGA-PBEsol | optimized geometry

ΔE_f: 2497 meV per atom
Space-group type: P4/mmm
Total magnetic moment: 0.264 μB per atom

a b c (Å): 4.558 4.558 4.798
angles (deg): 90.00 90.00 90.00
Last column: magnetic moment on the atom in μB.
Positions (direct):
C 0.500 0.500 0.500  -0.21
Ru 0.000 0.000 0.000  -0.05
Mo 0.000 0.500 0.000  0.79
Mo 0.500 0.000 0.000  0.79
Mg 0.000 0.000 0.500  0.00